[1]
# GGA-PBE Ba3SrTc, optimized geometry
# Size of the total moment ... 0.00 μB/cell
# Space group ... No. 221
# V ... 256 Å³ per cell
data_Ba3SrTc
_chemical_formula_sum 'Ba3 Sr1 Tc1'
_cell_length_a 6.349
_cell_length_b 6.349
_cell_length_c 6.349
_cell_angle_alpha 90.00
_cell_angle_beta 90.00
_cell_angle_gamma 90.00
_space_group_name_H-M_alt 'P 1'
_space_group_IT_number 1
loop_
_space_group_symop_operation_xyz
'x,y,z'
loop_
_atom_site_label
_atom_site_fract_x
_atom_site_fract_y
_atom_site_fract_z
Ba1 0.000 0.000 0.500
Ba2 0.000 0.500 0.000
Ba3 0.500 0.000 0.000
Sr1 0.000 0.000 0.000
Tc1 0.500 0.500 0.500

=====

[2]
# GGA-PBE Ba4SrTc, optimized geometry
# Size of the total moment ... 1.80 μB/cell
# Space group ... No. 216
# V ... 302 Å³ per cell
data_Ba4SrTc
_chemical_formula_sum 'Ba4 Sr1 Tc1'
_cell_length_a 7.531
_cell_length_b 7.531
_cell_length_c 7.531
_cell_angle_alpha 60.00
_cell_angle_beta 60.00
_cell_angle_gamma 60.00
_space_group_name_H-M_alt 'P 1'
_space_group_IT_number 1
loop_
_space_group_symop_operation_xyz
'x,y,z'
loop_
_atom_site_label
_atom_site_fract_x
_atom_site_fract_y
_atom_site_fract_z
Ba1 0.123 0.123 0.123
Ba2 0.123 0.123 0.631
Ba3 0.123 0.631 0.123
Ba4 0.631 0.123 0.123
Sr1 0.500 0.500 0.500
Tc1 0.750 0.750 0.750

=====

[3]
# GGA-PBE BaSr2Tc, optimized geometry
# Size of the total moment ... 1.90 μB/cell
# Space group ... No. 225
# V ... 143 Å³ per cell
data_BaSr2Tc
_chemical_formula_sum 'Ba1 Sr2 Tc1'
_cell_length_a 5.870
_cell_length_b 5.870
_cell_length_c 5.870
_cell_angle_alpha 60.00
_cell_angle_beta 60.00
_cell_angle_gamma 60.00
_space_group_name_H-M_alt 'P 1'
_space_group_IT_number 1
loop_
_space_group_symop_operation_xyz
'x,y,z'
loop_
_atom_site_label
_atom_site_fract_x
_atom_site_fract_y
_atom_site_fract_z
Ba1 0.000 0.000 0.000
Sr1 0.250 0.250 0.250
Sr2 0.750 0.750 0.750
Tc1 0.500 0.500 0.500

=====

[4]
# GGA-PBE BaSr2Tc, optimized geometry
# Size of the total moment ... 1.20 μB/cell
# Space group ... No. 119
# V ... 142 Å³ per cell
data_BaSr2Tc
_chemical_formula_sum 'Ba1 Sr2 Tc1'
_cell_length_a 6.126
_cell_length_b 6.126
_cell_length_c 6.126
_cell_angle_alpha 126.98
_cell_angle_beta 126.98
_cell_angle_gamma 78.28
_space_group_name_H-M_alt 'P 1'
_space_group_IT_number 1
loop_
_space_group_symop_operation_xyz
'x,y,z'
loop_
_atom_site_label
_atom_site_fract_x
_atom_site_fract_y
_atom_site_fract_z
Ba1 0.000 0.000 0.000
Sr1 0.250 0.750 0.500
Sr2 0.500 0.500 0.000
Tc1 0.750 0.250 0.500

=====

[5]
# GGA-PBE BaSr2Tc, optimized geometry
# Size of the total moment ... 1.21 μB/cell
# Space group ... No. 139
# V ... 140 Å³ per cell
data_BaSr2Tc
_chemical_formula_sum 'Ba1 Sr2 Tc1'
_cell_length_a 6.102
_cell_length_b 6.102
_cell_length_c 6.102
_cell_angle_alpha 127.09
_cell_angle_beta 127.09
_cell_angle_gamma 78.11
_space_group_name_H-M_alt 'P 1'
_space_group_IT_number 1
loop_
_space_group_symop_operation_xyz
'x,y,z'
loop_
_atom_site_label
_atom_site_fract_x
_atom_site_fract_y
_atom_site_fract_z
Ba1 0.000 0.000 0.000
Sr1 0.250 0.750 0.500
Sr2 0.750 0.250 0.500
Tc1 0.500 0.500 0.000

=====

[6]
# GGA-PBE Ba2SrTc, optimized geometry
# Size of the total moment ... 0.18 μB/cell
# Space group ... No. 166
# V ... 167 Å³ per cell
data_Ba2SrTc
_chemical_formula_sum 'Ba2 Sr1 Tc1'
_cell_length_a 12.074
_cell_length_b 12.074
_cell_length_c 12.074
_cell_angle_alpha 19.23
_cell_angle_beta 19.23
_cell_angle_gamma 19.23
_space_group_name_H-M_alt 'P 1'
_space_group_IT_number 1
loop_
_space_group_symop_operation_xyz
'x,y,z'
loop_
_atom_site_label
_atom_site_fract_x
_atom_site_fract_y
_atom_site_fract_z
Ba1 0.227 0.227 0.227
Ba2 0.773 0.773 0.773
Sr1 0.000 0.000 0.000
Tc1 0.500 0.500 0.500

=====

[7]
# GGA-PBE BaSr2Tc, optimized geometry
# Size of the total moment ... 1.20 μB/cell
# Space group ... No. 123
# V ... 144 Å³ per cell
data_BaSr2Tc
_chemical_formula_sum 'Ba1 Sr2 Tc1'
_cell_length_a 5.203
_cell_length_b 5.203
_cell_length_c 5.335
_cell_angle_alpha 90.00
_cell_angle_beta 90.00
_cell_angle_gamma 90.00
_space_group_name_H-M_alt 'P 1'
_space_group_IT_number 1
loop_
_space_group_symop_operation_xyz
'x,y,z'
loop_
_atom_site_label
_atom_site_fract_x
_atom_site_fract_y
_atom_site_fract_z
Ba1 0.000 0.000 0.000
Sr1 0.000 0.500 0.500
Sr2 0.500 0.000 0.500
Tc1 0.500 0.500 0.000

=====

[8]
# GGA-PBE Ba2SrTc, optimized geometry
# Size of the total moment ... 1.03 μB/cell
# Space group ... No. 225
# V ... 148 Å³ per cell
data_Ba2SrTc
_chemical_formula_sum 'Ba2 Sr1 Tc1'
_cell_length_a 5.936
_cell_length_b 5.936
_cell_length_c 5.936
_cell_angle_alpha 60.00
_cell_angle_beta 60.00
_cell_angle_gamma 60.00
_space_group_name_H-M_alt 'P 1'
_space_group_IT_number 1
loop_
_space_group_symop_operation_xyz
'x,y,z'
loop_
_atom_site_label
_atom_site_fract_x
_atom_site_fract_y
_atom_site_fract_z
Ba1 0.250 0.250 0.250
Ba2 0.750 0.750 0.750
Sr1 0.000 0.000 0.000
Tc1 0.500 0.500 0.500

=====

no.,VASP energy (eV/atom),E_form (eV/atom)
1,-1.701,1.86
2,-2.318,0.97
3,-3.110,0.80
4,-3.114,0.80
5,-3.115,0.80
6,-3.214,0.76
7,-3.098,0.81
8,-3.142,0.83